Material: NaHoFeF6
Method: DFT, PBE with a Hubbard U
State: relaxed

E: -5.6419 eV per atom

abc: 5.6935 5.6935 9.6158
angles: 90.00 90.00 120.00
Space group P-31c (No. 163)
One atom of each set of equivalent atoms:
Na  0.0000  0.0000  0.0000 [2 per cell]
Ho  0.3333  0.6667  0.2500 [2 per cell]
Fe  0.3333  0.6667  0.7500 [2 per cell]
F  0.0105  0.3588  0.6354 [12 per cell]